Below is crystalline BRuPt2 at its relaxed geometry, with properties calculated at the PBE level.

Cell and atoms, written as CIF:
```
data_BRuPt2
_cell_length_a 6.669
_cell_length_b 6.669
_cell_length_c 4.971
_cell_angle_alpha 90.00
_cell_angle_beta 90.00
_cell_angle_gamma 90.00
_symmetry_space_group_name_H-M 'I -4 2 d'
_symmetry_Int_Tables_number 122
_symmetry_space_group_name_Hall 'I -4 2bw'
loop_
_atom_site_label
_atom_site_type_symbol
_atom_site_fract_x
_atom_site_fract_y
_atom_site_fract_z
B1 B 0.000 0.000 0.000
Ru1 Ru 0.000 0.000 0.500
Pt1 Pt 0.166 0.250 0.125
```

Computed properties:
The calculation puts the total magnetization at 1.00 μB/f.u. The total energy is -6.87 eV per atom.